Entry 1:
Tl2MoBr: single point on PBEsol structure, SCAN.

Lattice parameters (Å, degrees): 3.1273 5.4034 5.7786 108.71 105.70 90.00
Element x y z (fractional)
1 Tl 0.7639 0.2794 0.5277
2 Tl 0.9638 0.9266 0.9276
3 Br 0.5501 0.5066 0.1001
4 Mo 0.2223 0.7873 0.4446

Output
Total energy ... -197.41 eV per formula unit

=====

Entry 2:
LiTa3N4: single point on PBEsol structure, SCAN.

Lattice parameters (Å, degrees): 5.1720 8.9631 10.2947 90.00 90.00 90.00
Element x y z (fractional)
1 Ta 0.5000 0.1641 0.0000
2 Ta 0.8295 0.5018 0.2478
3 Ta 0.5000 0.8489 0.5000
4 Ta 0.0000 0.3489 0.0000
5 Ta 0.6668 0.6639 0.7505
6 Ta 0.1705 0.5018 0.7522
7 Ta 0.6705 0.0018 0.7478
8 Ta 0.1605 0.8344 0.7525
9 Ta 0.8395 0.8344 0.2475
10 Ta 0.3332 0.6639 0.2495
11 Ta 0.5000 0.8194 0.0000
12 Ta 0.0000 0.3194 0.5000
13 Ta 0.6605 0.3344 0.7475
14 Ta 0.1668 0.1639 0.7495
15 Ta 0.8332 0.1639 0.2505
16 Ta 0.3395 0.3344 0.2525
17 Ta 0.0000 0.6641 0.5000
18 Ta 0.3295 0.0018 0.2522
19 N 0.6758 0.3323 0.3772
20 N 0.1669 0.8341 0.3805
21 N 0.3352 0.9979 0.8800
22 N 0.6661 0.9993 0.3784
23 N 0.6669 0.3341 0.1195
24 N 0.8339 0.4993 0.8784
25 N 0.6655 0.6684 0.1217
26 N 0.8331 0.8341 0.6195
27 N 0.3337 0.6688 0.6200
28 N 0.6648 0.9979 0.1200
29 N 0.1663 0.1688 0.1200
30 N 0.1758 0.8323 0.1228
31 N 0.3339 0.9993 0.6216
32 N 0.8337 0.1688 0.8800
33 N 0.1648 0.4979 0.3800
34 N 0.6663 0.6688 0.3800
35 N 0.8242 0.8323 0.8772
36 N 0.3345 0.6684 0.8783
37 N 0.8352 0.4979 0.6200
38 N 0.1661 0.4993 0.1216
39 N 0.8345 0.1684 0.6217
40 N 0.3331 0.3341 0.8805
41 N 0.1655 0.1684 0.3783
42 N 0.3242 0.3323 0.6228
43 Li 0.0000 0.9868 0.0000
44 Li 0.5000 0.5078 0.0000
45 Li 0.5000 0.1711 0.5000
46 Li 0.0000 0.6711 0.0000
47 Li 0.5000 0.4868 0.5000
48 Li 0.0000 0.0078 0.5000

Output
Total energy ... -250.10 eV per formula unit

=====

Entry 3:
Cd2InGa2: single point on PBEsol structure, SCAN.

Lattice parameters (Å, degrees): 4.0177 4.0177 7.2759 106.03 106.03 90.00
Element x y z (fractional)
1 Cd 0.6040 0.6040 0.2081
2 Cd 0.3960 0.3960 0.7919
3 In 0.0000 0.0000 0.0000
4 Ga 0.2500 0.7500 0.5000
5 Ga 0.7500 0.2500 0.5000

Output
Offset from the most stable computed form ... 0 meV/atom
Formation energy from the elements ... 10.1 kJ/mol of atoms

=====

Entry 4:
Ca2BeSbTe: single point on PBEsol structure, SCAN.

Lattice parameters (Å, degrees): 4.5799 5.7480 5.7480 90.00 90.00 90.00
Element x y z (fractional)
1 Ca 0.0000 0.0000 0.5000
2 Ca 0.0000 0.5000 0.0000
3 Be 0.5000 0.0000 0.0000
4 Te 0.0000 0.0000 0.0000
5 Sb 0.5000 0.5000 0.5000

Output
Total energy ... -99.35 eV per formula unit

=====

Entry 5:
YZrZn: single point on PBEsol structure, SCAN.

Lattice parameters (Å, degrees): 4.7390 4.7390 4.7390 60.00 60.00 60.00
Last column: magnetic moment on the atom in μB.
Element x y z (fractional)
1 Zr 0.5000 0.5000 0.5000  0.76
2 Y 0.2500 0.2500 0.2500  0.52
3 Zn 0.0000 0.0000 0.0000  -0.02

Output
Offset from the most stable computed form ... 1132 meV/atom
Formation energy from the elements ... 90.1 kJ/mol of atoms

=====

Entry 6:
LiSc4Zn: single point on PBEsol structure, SCAN.

Lattice parameters (Å, degrees): 5.7660 5.7660 5.7660 60.00 60.00 60.00
Element x y z (fractional)
1 Sc 0.3761 0.3761 0.8717
2 Sc 0.8717 0.3761 0.3761
3 Sc 0.3761 0.8717 0.3761
4 Sc 0.3761 0.3761 0.3761
5 Li 0.0000 0.0000 0.0000
6 Zn 0.7500 0.7500 0.7500

Output
Formation energy from the elements ... 39.9 kJ/mol of atoms

=====

Entry 7:
HgPb2: single point on PBEsol structure, SCAN.

Lattice parameters (Å, degrees): 3.4793 3.4793 7.1758 104.03 104.03 90.00
Element x y z (fractional)
1 Hg 0.5000 0.5000 0.0000
2 Pb 0.8409 0.8409 0.6817
3 Pb 0.1591 0.1591 0.3183

Output
Offset from the most stable computed form ... 3 meV/atom
Formation energy from the elements ... 2.2 kJ/mol of atoms

=====

Entry 8:
MgPCl3: single point on PBEsol structure, SCAN.

Lattice parameters (Å, degrees): 4.8305 4.8305 4.8305 90.00 90.00 90.00
Last column: magnetic moment on the atom in μB.
Element x y z (fractional)
1 Cl 0.5000 0.0000 0.0000  0.00
2 Cl 0.0000 0.5000 0.0000  0.00
3 Cl 0.0000 0.0000 0.5000  0.00
4 P 0.5000 0.5000 0.5000  0.93
5 Mg 0.0000 0.0000 0.0000  0.00

Output
Total energy ... -42.27 eV per formula unit

=====

no.,density (g/cm³)
1,11.0
2,12.6
3,7.4
4,3.7
5,5.4
6,3.1
7,12.5
8,2.4